VASP calculation (GGA-PBE) on a relaxed structure of Ac5SnPb6.

Structure (extended XYZ):
```
12
Lattice="4.934 0.004 -1.518 -1.060 8.975 -3.420 0.343 -1.391 9.894" Properties=species:S:1:pos:R:3 pbc="T T T"
Ac 2.741 5.581 0.146
Pb 3.707 4.271 3.308
Ac 1.476 2.007 4.810
Ac -0.530 4.487 -1.710
Pb 4.231 -0.168 5.000
Pb -0.014 7.756 -0.044
Pb 2.188 2.367 -1.660
Pb 2.029 5.221 6.616
Ac 1.114 6.726 3.656
Ac 3.103 0.862 1.300
Pb 0.510 3.317 1.648
Sn 0.000 0.000 0.000
```

Summary:
raw total energy	-4.365	eV/atom
calculated volume	34.76	Å³/atom